No. 1
GGA-PBE PaNiOs2, relaxed; formation energy = -0.26 eV/atom; relative energy among the computed polymorphs = 0 meV per atom
1.0
4.039 0.000 0.000
0.000 4.039 0.000
0.000 0.000 3.977
Pa Ni Os
1 1 2
direct
0.000 0.000 0.000
0.500 0.500 0.000
0.000 0.500 0.500
0.500 0.000 0.500

***

No. 2
GGA-PBE Pa8NiOs5, relaxed; formation energy = -0.28 eV/atom
1.0
-4.270 4.270 4.245
4.270 -4.270 4.245
4.270 4.270 -4.245
Pa Ni Os
8 1 5
direct
0.008 0.876 0.253
0.124 0.377 0.132
0.126 0.376 0.633
0.245 0.992 0.868
0.507 0.874 0.249
0.623 0.755 0.747
0.624 0.258 0.751
0.742 0.493 0.367
0.500 0.500 0.000
0.001 0.623 0.878
0.250 0.750 0.500
0.377 0.254 0.377
0.746 0.123 0.122
0.877 0.999 0.623

***

No. 3
GGA-PBE PrPaNiOs, relaxed; formation energy = -0.06 eV/atom
1.0
0.000 3.467 3.467
3.467 0.000 3.467
3.467 3.467 0.000
Pr Pa Ni Os
1 1 1 1
direct
0.000 0.000 0.000
0.500 0.500 0.500
0.750 0.750 0.750
0.250 0.250 0.250

***

No. 4
GGA-PBE PaSi2NiOs2, relaxed; uncorrected formation energy = -0.055 eV per atom
1.0
4.347 0.000 0.000
0.000 4.347 0.000
0.000 0.000 5.242
Pa Si Ni Os
1 2 1 2
direct
0.000 0.000 0.000
0.000 0.500 0.500
0.500 0.000 0.500
0.000 0.000 0.500
0.500 0.500 0.237
0.500 0.500 0.763

***

No. 5
GGA-PBE Pa2Si4Ni3Os, relaxed; uncorrected formation energy = -0.772 eV per atom
1.0
4.014 0.000 0.000
0.000 4.014 0.000
0.000 0.000 9.535
Pa Si Ni Os
2 4 3 1
direct
0.000 0.500 0.247
0.500 0.000 0.753
0.000 0.000 0.000
0.000 0.500 0.638
0.500 0.000 0.362
0.500 0.500 0.000
0.000 0.500 0.878
0.500 0.000 0.122
0.500 0.500 0.500
0.000 0.000 0.500

***

No. 6
GGA-PBE Pa2Si3Ni4Os, relaxed; uncorrected formation energy = -0.594 eV per atom
1.0
3.816 0.000 0.000
0.000 3.816 0.000
0.000 0.000 10.397
Pa Si Ni Os
2 3 4 1
direct
0.000 0.500 0.244
0.500 0.000 0.756
0.000 0.000 0.000
0.000 0.500 0.620
0.500 0.000 0.380
0.000 0.000 0.500
0.000 0.500 0.839
0.500 0.000 0.161
0.500 0.500 0.500
0.500 0.500 0.000

***

No. 7
GGA-PBE Pa2Si4NiOs3, relaxed; uncorrected formation energy = -0.623 eV per atom
1.0
4.059 0.000 0.000
0.000 4.059 0.000
0.000 0.000 10.031
Pa Si Ni Os
2 4 1 3
direct
0.000 0.500 0.248
0.500 0.000 0.752
0.000 0.000 0.000
0.000 0.500 0.627
0.500 0.000 0.373
0.500 0.500 0.000
0.000 0.000 0.500
0.000 0.500 0.865
0.500 0.000 0.135
0.500 0.500 0.500

***

No. 8
GGA-PBE PaSi4Ni2Os, relaxed; uncorrected formation energy = -0.355 eV per atom
1.0
1.983 1.145 8.597
-1.983 1.145 8.597
0.000 -2.290 8.597
Pa Si Ni Os
1 4 2 1
direct
0.000 0.000 0.000
0.124 0.124 0.124
0.402 0.402 0.402
0.598 0.598 0.598
0.876 0.876 0.876
0.240 0.240 0.240
0.760 0.760 0.760
0.500 0.500 0.500

***

No. 9
GGA-PBE PaSi2Ni2Os, relaxed; uncorrected formation energy = 0.090 eV per atom
1.0
4.584 0.000 0.000
0.000 4.584 0.000
0.000 0.000 5.104
Pa Si Ni Os
1 2 2 1
direct
0.000 0.000 0.000
0.000 0.500 0.500
0.500 0.000 0.500
0.500 0.500 0.245
0.500 0.500 0.755
0.000 0.000 0.500

***

No. 10
GGA-PBE SmPaNiOs, relaxed; formation energy = -0.15 eV/atom
1.0
0.000 3.438 3.438
3.438 0.000 3.438
3.438 3.438 0.000
Sm Pa Ni Os
1 1 1 1
direct
0.000 0.000 0.000
0.500 0.500 0.500
0.250 0.250 0.250
0.750 0.750 0.750

***

No. 11
GGA-PBE ThPaNiOs, relaxed; formation energy = -0.19 eV/atom
1.0
0.000 3.472 3.472
3.472 0.000 3.472
3.472 3.472 0.000
Th Pa Ni Os
1 1 1 1
direct
0.000 0.000 0.000
0.500 0.500 0.500
0.250 0.250 0.250
0.750 0.750 0.750

***

No. 12
GGA-PBE TmPaNiOs, relaxed; formation energy = -0.30 eV/atom
1.0
0.000 3.392 3.392
3.392 0.000 3.392
3.392 3.392 0.000
Tm Pa Ni Os
1 1 1 1
direct
0.000 0.000 0.000
0.500 0.500 0.500
0.250 0.250 0.250
0.750 0.750 0.750